1.
TbTh3Sn12 | Alexandria via LeMat-Bulk | PBE-GGA | relaxed; energy relative to the elements = -0.45 eV/atom; spin magnetization = 0.000 μB/f.u.; space group = P4/mmm (123)
1.0
4.787 0.000 0.000
0.000 4.787 0.000
0.000 0.000 18.631
Th Sn Tb
3 12 1
Direct
0.000 0.000 0.249 Th
0.000 0.000 0.500 Th
0.000 0.000 0.751 Th
0.500 0.500 0.248 Sn
0.500 0.000 0.626 Sn
0.000 0.500 0.878 Sn
0.000 0.500 0.374 Sn
0.500 0.000 0.122 Sn
0.500 0.500 0.000 Sn
0.500 0.000 0.878 Sn
0.500 0.500 0.752 Sn
0.500 0.000 0.374 Sn
0.000 0.500 0.626 Sn
0.000 0.500 0.122 Sn
0.500 0.500 0.500 Sn
0.000 0.000 0.000 Tb

=====

2.
Tb2ThSn | Alexandria via LeMat-Bulk | PBE-GGA | relaxed; energy relative to the elements = -0.38 eV/atom; ΔE to the lowest computed polymorph = 0 meV/atom; spin magnetization = 0.000 μB/f.u.; space group = P4/mmm (123)
1.0
-1.510 -3.636 -2.699
4.407 -0.241 -2.140
1.494 -3.168 3.433
Th Tb Sn
1 2 1
Direct
0.500 0.500 0.500 Th
0.000 0.000 0.500 Tb
0.000 0.500 0.000 Tb
0.500 0.000 0.000 Sn

=====

3.
TbTh2Sn | Alexandria via LeMat-Bulk | PBE-GGA | relaxed; energy relative to the elements = 0.16 eV/atom; ΔE to the lowest computed polymorph = 510 meV/atom; spin magnetization = 0.000 μB/f.u.; space group = R-3m (166)
1.0
3.496 0.000 0.000
1.748 3.027 0.000
1.748 1.009 12.352
Th Sn Tb
2 1 1
Direct
0.913 0.913 0.261 Th
0.087 0.087 0.739 Th
0.000 0.000 0.000 Sn
0.500 0.500 0.500 Tb

=====

4.
Tb2ThSn | Alexandria via LeMat-Bulk | PBE-GGA | relaxed; energy relative to the elements = -0.31 eV/atom; ΔE to the lowest computed polymorph = 69 meV/atom; spin magnetization = 0.000 μB/f.u.; space group = P4/mmm (123)
1.0
3.863 0.000 0.000
0.000 3.863 0.000
0.000 0.000 7.834
Tb Sn Th
2 1 1
Direct
0.000 0.000 0.777 Tb
0.000 0.000 0.223 Tb
0.500 0.500 0.000 Sn
0.500 0.500 0.500 Th

=====

5.
TbTh2Sn | Alexandria via LeMat-Bulk | PBE-GGA | relaxed; energy relative to the elements = -0.22 eV/atom; ΔE to the lowest computed polymorph = 124 meV/atom; spin magnetization = 0.000 μB/f.u.; space group = P4/mmm (123)
1.0
4.206 0.000 0.000
0.000 4.206 0.000
0.000 0.000 6.958
Th Sn Tb
2 1 1
Direct
0.000 0.000 0.226 Th
0.000 0.000 0.774 Th
0.500 0.500 0.000 Sn
0.500 0.500 0.500 Tb

=====

6.
TbThSn6 | Alexandria via LeMat-Bulk | PBE-GGA | relaxed; energy relative to the elements = -0.44 eV/atom; spin magnetization = 0.000 μB/f.u.; space group = P4/mmm (123)
1.0
4.741 0.000 0.000
0.000 4.741 0.000
0.000 0.000 9.442
Th Tb Sn
1 1 6
Direct
0.000 0.000 0.000 Th
0.000 0.000 0.500 Tb
0.000 0.500 0.254 Sn
0.500 0.500 0.000 Sn
0.500 0.000 0.746 Sn
0.500 0.000 0.254 Sn
0.500 0.500 0.500 Sn
0.000 0.500 0.746 Sn

=====

7.
Tb5ThSn4 | Alexandria via LeMat-Bulk | PBE-GGA | relaxed; energy relative to the elements = -0.56 eV/atom; spin magnetization = 0.000 μB/f.u.; space group = C2/m (12)
1.0
-4.149 -2.206 0.497
-0.524 -0.815 -7.991
6.264 -5.323 6.200
Sn Tb Th
4 5 1
Direct
0.945 0.656 0.890 Sn
0.055 0.344 0.110 Sn
0.308 0.851 0.616 Sn
0.692 0.149 0.384 Sn
0.307 0.446 0.614 Tb
0.850 0.143 0.700 Tb
0.500 0.500 0.000 Tb
0.150 0.857 0.300 Tb
0.693 0.554 0.386 Tb
0.500 0.000 0.000 Th

=====

8.
TbTh4Sn4 | Alexandria via LeMat-Bulk | PBE-GGA | relaxed; energy relative to the elements = -0.30 eV/atom; spin magnetization = 0.000 μB/f.u.; space group = P4_2/n (86)
1.0
-3.989 0.340 -4.885
5.344 -5.780 -4.765
-4.727 -7.143 3.363
Sn Th Tb
8 8 2
Direct
0.635 0.886 0.202 Sn
0.135 0.702 0.614 Sn
0.365 0.202 0.114 Sn
0.635 0.114 0.798 Sn
0.865 0.386 0.702 Sn
0.365 0.798 0.886 Sn
0.135 0.298 0.386 Sn
0.865 0.614 0.298 Sn
0.649 0.833 0.574 Th
0.851 0.333 0.074 Th
0.149 0.926 0.333 Th
0.351 0.574 0.167 Th
0.351 0.426 0.833 Th
0.851 0.667 0.926 Th
0.649 0.167 0.426 Th
0.149 0.074 0.667 Th
0.500 0.500 0.500 Tb
0.000 0.000 0.000 Tb

=====

9.
TbThZnSn | Alexandria via LeMat-Bulk | PBE-GGA | relaxed; energy relative to the elements = -0.37 eV/atom; spin magnetization = 0.000 μB/f.u.; space group = F-43m (216)
1.0
5.298 0.000 0.000
2.649 4.588 0.000
2.649 1.529 4.326
Sn Th Tb Zn
1 1 1 1
Direct
0.250 0.250 0.250 Sn
0.000 0.000 0.000 Th
0.500 0.500 0.500 Tb
0.750 0.750 0.750 Zn

=====

10.
Tb2ThZn2Sn2 | Alexandria via LeMat-Bulk | PBE-GGA | relaxed; energy relative to the elements = -0.32 eV/atom; spin magnetization = 0.000 μB/f.u.; space group = R-3m (166)
1.0
-1.638 2.455 -3.502
-3.896 -1.257 -2.053
-7.054 6.072 4.562
Zn Sn Tb Th
2 2 2 1
Direct
0.387 0.387 0.839 Zn
0.613 0.613 0.161 Zn
0.743 0.743 0.771 Sn
0.257 0.257 0.229 Sn
0.871 0.871 0.388 Tb
0.129 0.129 0.612 Tb
0.000 0.000 0.000 Th

=====

11.
TbTiSn3 | Alexandria via LeMat-Bulk | PBE-GGA | relaxed; energy relative to the elements = -0.37 eV/atom; spin magnetization = 0.001 μB/f.u.; space group = Pbcm (57)
1.0
6.156 0.000 0.000
0.000 5.961 0.000
0.000 0.000 13.463
Ti Sn Tb
4 12 4
Direct
0.500 0.750 0.896 Ti
0.000 0.250 0.104 Ti
0.500 0.250 0.104 Ti
0.000 0.750 0.896 Ti
0.250 0.688 0.076 Sn
0.500 0.750 0.505 Sn
0.000 0.750 0.505 Sn
0.250 0.188 0.924 Sn
0.750 0.494 0.247 Sn
0.250 0.506 0.753 Sn
0.500 0.250 0.495 Sn
0.750 0.994 0.753 Sn
0.000 0.250 0.495 Sn
0.250 0.006 0.247 Sn
0.750 0.312 0.924 Sn
0.750 0.812 0.076 Sn
0.750 0.492 0.688 Tb
0.250 0.508 0.312 Tb
0.250 0.008 0.688 Tb
0.750 0.992 0.312 Tb

=====

12.
Tb6TiSn10 | Alexandria via LeMat-Bulk | PBE-GGA | relaxed; energy relative to the elements = -0.51 eV/atom; spin magnetization = 0.000 μB/f.u.; space group = P-31m (162)
1.0
-4.961 2.877 2.376
-2.223 3.053 -8.339
-3.248 -8.034 2.949
Tb Sn Ti
6 10 1
Direct
0.743 0.000 0.609 Tb
0.743 0.391 0.391 Tb
0.743 0.609 0.000 Tb
0.257 0.391 0.000 Tb
0.257 0.000 0.391 Tb
0.257 0.609 0.609 Tb
0.790 0.000 0.234 Sn
0.210 0.234 0.234 Sn
0.000 0.667 0.333 Sn
0.000 0.333 0.667 Sn
0.790 0.234 0.000 Sn
0.210 0.766 0.000 Sn
0.790 0.766 0.766 Sn
0.500 0.333 0.667 Sn
0.210 0.000 0.766 Sn
0.500 0.667 0.333 Sn
0.500 0.000 0.000 Ti

=====

13.
Tb6TlSn | Alexandria via LeMat-Bulk | PBE-GGA | relaxed; energy relative to the elements = -0.31 eV/atom; spin magnetization = 0.000 μB/f.u.; space group = P4/mmm (123)
1.0
-3.156 -1.315 3.433
3.558 0.049 3.289
-1.853 9.313 1.865
Tb Sn Tl
6 1 1
Direct
0.500 0.500 0.500 Tb
0.000 0.500 0.254 Tb
0.000 0.500 0.746 Tb
0.500 0.500 0.000 Tb
0.500 0.000 0.746 Tb
0.500 0.000 0.254 Tb
0.000 0.000 0.500 Sn
0.000 0.000 0.000 Tl

=====

14.
Tb6Tl5Sn | Alexandria via LeMat-Bulk | PBE-GGA | relaxed; energy relative to the elements = -0.40 eV/atom; spin magnetization = 0.000 μB/f.u.; space group = C2/m (12)
1.0
5.190 -0.009 -1.458
-3.897 7.519 -3.926
-0.207 -1.121 9.265
Tl Sn Tb
5 1 6
Direct
0.500 0.500 0.500 Tl
0.500 0.173 0.827 Tl
0.500 0.827 0.173 Tl
0.000 0.335 0.665 Tl
0.000 0.665 0.335 Tl
0.000 0.000 0.000 Sn
0.247 0.082 0.411 Tb
0.745 0.245 0.245 Tb
0.255 0.755 0.755 Tb
0.753 0.918 0.589 Tb
0.247 0.411 0.082 Tb
0.753 0.589 0.918 Tb

=====

15.
Tb6TlSn2 | Alexandria via LeMat-Bulk | PBE-GGA | relaxed; energy relative to the elements = -0.45 eV/atom; spin magnetization = 4.828 μB/f.u.; space group = P-62m (189)
1.0
4.420 0.000 0.000
0.000 8.362 0.000
0.000 -4.181 7.242
Tb Sn Tl
6 2 1
Direct
0.000 0.000 0.259 Tb
0.500 0.593 0.000 Tb
0.000 0.741 0.741 Tb
0.500 0.407 0.407 Tb
0.500 0.000 0.593 Tb
0.000 0.259 0.000 Tb
0.000 0.333 0.667 Sn
0.000 0.667 0.333 Sn
0.500 0.000 0.000 Tl

=====

16.
Tb6Tl3Sn | Alexandria via LeMat-Bulk | PBE-GGA | relaxed; energy relative to the elements = -0.26 eV/atom; spin magnetization = 0.687 μB/f.u.; space group = P2_1/m (11)
1.0
-0.144 0.162 3.726
-8.444 -8.272 0.033
12.165 -7.095 0.777
Tl Tb Sn
6 12 2
Direct
0.750 0.382 0.864 Tl
0.250 0.618 0.136 Tl
0.750 0.648 0.517 Tl
0.250 0.888 0.947 Tl
0.250 0.352 0.483 Tl
0.750 0.112 0.053 Tl
0.250 0.879 0.532 Tb
0.250 0.137 0.873 Tb
0.750 0.507 0.675 Tb
0.750 0.817 0.756 Tb
0.250 0.610 0.909 Tb
0.250 0.183 0.244 Tb
0.750 0.737 0.324 Tb
0.750 0.121 0.468 Tb
0.250 0.493 0.325 Tb
0.750 0.863 0.127 Tb
0.250 0.263 0.676 Tb
0.750 0.390 0.091 Tb
0.250 0.953 0.317 Sn
0.750 0.047 0.683 Sn

=====

17.
Tb4Tl5Sn | Alexandria via LeMat-Bulk | PBE-GGA | relaxed; energy relative to the elements = -0.10 eV/atom; spin magnetization = 0.000 μB/f.u.; space group = Pmmn (59)
1.0
7.762 0.000 0.000
0.000 10.068 0.000
0.000 0.000 7.838
Tl Tb Sn
10 8 2
Direct
0.186 0.185 0.194 Tl
0.110 0.000 0.500 Tl
0.186 0.185 0.806 Tl
0.814 0.685 0.306 Tl
0.890 0.500 0.000 Tl
0.814 0.315 0.694 Tl
0.814 0.685 0.694 Tl
0.186 0.815 0.806 Tl
0.814 0.315 0.306 Tl
0.186 0.815 0.194 Tl
0.201 0.500 0.756 Tb
0.201 0.500 0.244 Tb
0.475 0.812 0.500 Tb
0.525 0.688 0.000 Tb
0.799 0.000 0.744 Tb
0.525 0.312 0.000 Tb
0.475 0.188 0.500 Tb
0.799 0.000 0.256 Tb
0.511 0.500 0.500 Sn
0.489 0.000 0.000 Sn

=====

18.
TbTlSn4 | Alexandria via LeMat-Bulk | PBE-GGA | relaxed; energy relative to the elements = -0.14 eV/atom; spin magnetization = 0.000 μB/f.u.; space group = F-43m (216)
1.0
-5.074 -3.570 0.450
-0.384 -5.285 -3.258
0.304 -5.484 2.921
Sn Tl Tb
4 1 1
Direct
0.625 0.625 0.625 Sn
0.625 0.625 0.126 Sn
0.126 0.625 0.625 Sn
0.625 0.126 0.625 Sn
0.000 0.000 0.000 Tl
0.250 0.250 0.250 Tb

=====

19.
Tb6Tl5Sn | Alexandria via LeMat-Bulk | PBE-GGA | relaxed; energy relative to the elements = -0.40 eV/atom; spin magnetization = 0.000 μB/f.u.; space group = C2/m (12)
1.0
9.309 0.406 0.000
2.882 4.518 0.000
1.441 2.259 8.070
Tb Sn Tl
6 1 5
Direct
0.749 0.087 0.329 Tb
0.251 0.913 0.671 Tb
0.756 0.744 0.000 Tb
0.749 0.416 0.671 Tb
0.244 0.256 0.000 Tb
0.251 0.584 0.329 Tb
0.000 0.000 0.000 Sn
0.000 0.328 0.344 Tl
0.000 0.672 0.656 Tl
0.500 0.834 0.332 Tl
0.500 0.166 0.668 Tl
0.500 0.500 0.000 Tl

=====

20.
Tb3Tl2Sn | Alexandria via LeMat-Bulk | PBE-GGA | relaxed; energy relative to the elements = -0.44 eV/atom; spin magnetization = 0.000 μB/f.u.; space group = Pmmn (59)
1.0
3.720 0.000 0.000
0.000 5.414 0.000
0.000 0.000 16.374
Tb Tl Sn
6 4 2
Direct
0.499 0.000 0.839 Tb
0.499 0.000 0.161 Tb
0.501 0.500 0.339 Tb
0.501 0.500 0.661 Tb
0.502 0.000 0.500 Tb
0.498 0.500 0.000 Tb
0.999 0.500 0.828 Tl
0.999 0.500 0.172 Tl
0.001 0.000 0.672 Tl
0.001 0.000 0.328 Tl
0.001 0.500 0.500 Sn
0.999 0.000 0.000 Sn

=====

21.
Tb2TlSn9 | Alexandria via LeMat-Bulk | PBE-GGA | relaxed; energy relative to the elements = -0.27 eV/atom; spin magnetization = 0.000 μB/f.u.; space group = P4/mmm (123)
1.0
-3.177 -2.001 2.732
3.220 -0.626 3.286
-3.399 13.441 5.890
Sn Tl Tb
9 1 2
Direct
0.500 0.500 0.666 Sn
0.000 0.500 0.500 Sn
0.500 0.000 0.173 Sn
0.500 0.000 0.500 Sn
0.500 0.500 0.334 Sn
0.000 0.500 0.827 Sn
0.500 0.500 0.000 Sn
0.500 0.000 0.827 Sn
0.000 0.500 0.173 Sn
0.000 0.000 0.000 Tl
0.000 0.000 0.348 Tb
0.000 0.000 0.652 Tb